(1)
A relaxed PaGeS crystal, computed with PBE.

Results
Total DFT energy (no corrections), eV per cell: -20.2
E above lowest polymorph, meV per atom: 523
ΔE_f (raw), eV per atom: -0.661
Magnetic moment, μB/f.u.: 0.0

a b c (Å): 4.5098 4.5098 3.7735
angles (deg): 90.00 90.00 120.00
Sites, in units of the cell vectors:
Pa 0.0000 0.0000 0.0000
Ge 0.6667 0.3333 0.5000
S 0.3333 0.6667 0.0000



(2)
A relaxed Pa3GeS3 crystal, computed with PBE.

Results
Total DFT energy (no corrections), eV per cell: -107.9
ΔE_f (raw), eV per atom: -1.212
Magnetic moment, μB/f.u.: 1.1

a b c (Å): 7.2743 7.2743 7.2743
angles (deg): 69.32 69.32 69.32
Sites, in units of the cell vectors:
Pa 0.0526 0.7858 0.4278
Pa 0.2142 0.5722 0.9474
Pa 0.4278 0.0526 0.7858
Pa 0.5722 0.9474 0.2142
Pa 0.7858 0.4278 0.0526
Pa 0.9474 0.2142 0.5722
Ge 0.1666 0.1666 0.1666
Ge 0.8334 0.8334 0.8334
S 0.1266 0.4052 0.7025
S 0.2975 0.8734 0.5948
S 0.4052 0.7025 0.1266
S 0.5948 0.2975 0.8734
S 0.7025 0.1266 0.4052
S 0.8734 0.5948 0.2975



(3)
A relaxed Pa3Ge2S crystal, computed with PBE.

Results
Total DFT energy (no corrections), eV per cell: -46.9
ΔE_f (raw), eV per atom: -0.841
Magnetic moment, μB/f.u.: 0.0

a b c (Å): 7.0141 7.0141 7.0141
angles (deg): 146.26 131.64 60.26
Sites, in units of the cell vectors:
Pa 0.0000 0.0000 0.0000
Pa 0.3413 0.3413 0.0000
Pa 0.6587 0.6587 0.0000
Ge 0.1705 0.6705 0.5000
Ge 0.8295 0.3295 0.5000
S 0.5000 0.0000 0.5000



(4)
A relaxed Pa6Ge5S crystal, computed with PBE.

Results
Total DFT energy (no corrections), eV per cell: -91.9
ΔE_f (raw), eV per atom: -0.640
Magnetic moment, μB/f.u.: 0.0

a b c (Å): 7.0972 7.0972 7.0969
angles (deg): 99.60 99.60 120.02
Sites, in units of the cell vectors:
Pa 0.0809 0.4057 0.7437
Pa 0.2418 0.2418 0.2522
Pa 0.4057 0.0809 0.7437
Pa 0.5943 0.9191 0.2563
Pa 0.7582 0.7582 0.7478
Pa 0.9191 0.5943 0.2563
Ge 0.1711 0.8289 0.0000
Ge 0.3343 0.6657 0.5000
Ge 0.5000 0.5000 0.0000
Ge 0.6657 0.3343 0.5000
Ge 0.8289 0.1711 0.0000
S 0.0000 0.0000 0.5000



(5)
A relaxed Pa4GeS3 crystal, computed with PBE.

Results
Total DFT energy (no corrections), eV per cell: -65.3
ΔE_f (raw), eV per atom: -1.293
Magnetic moment, μB/f.u.: 1.6

a b c (Å): 5.6123 5.6123 5.6123
angles (deg): 90.00 90.00 90.00
Sites, in units of the cell vectors:
Pa 0.0000 0.0000 0.0000
Pa 0.0000 0.5000 0.5000
Pa 0.5000 0.0000 0.5000
Pa 0.5000 0.5000 0.0000
Ge 0.5000 0.5000 0.5000
S 0.0000 0.0000 0.5000
S 0.0000 0.5000 0.0000
S 0.5000 0.0000 0.0000



(6)
A relaxed Pa5GeS4 crystal, computed with PBE.

Results
Total DFT energy (no corrections), eV per cell: -82.3
ΔE_f (raw), eV per atom: -1.372
Magnetic moment, μB/f.u.: 0.0

a b c (Å): 10.1486 10.1486 10.1486
angles (deg): 156.86 148.01 39.85
Sites, in units of the cell vectors:
Pa 0.0000 0.0000 0.0000
Pa 0.1988 0.1988 0.0000
Pa 0.3932 0.3932 0.0000
Pa 0.6068 0.6068 0.0000
Pa 0.8012 0.8012 0.0000
Ge 0.5000 0.0000 0.5000
S 0.0996 0.5996 0.5000
S 0.2960 0.7960 0.5000
S 0.7040 0.2040 0.5000
S 0.9004 0.4004 0.5000



(7)
A relaxed Pa2GeS5 crystal, computed with PBE.

Results
Total DFT energy (no corrections), eV per cell: -108.5
ΔE_f (raw), eV per atom: -1.250
Magnetic moment, μB/f.u.: 1.1

a b c (Å): 7.4845 11.5386 3.7994
angles (deg): 90.00 90.00 90.00
Sites, in units of the cell vectors:
Pa 0.0200 0.1780 0.0000
Pa 0.4800 0.6780 0.0000
Pa 0.5200 0.3220 0.0000
Pa 0.9800 0.8220 0.0000
Ge 0.0000 0.5000 0.5000
Ge 0.5000 0.0000 0.5000
S 0.0000 0.0000 0.5000
S 0.1656 0.3951 0.0000
S 0.1813 0.6948 0.5000
S 0.3187 0.1948 0.5000
S 0.3344 0.8951 0.0000
S 0.5000 0.5000 0.5000
S 0.6656 0.1049 0.0000
S 0.6813 0.8052 0.5000
S 0.8187 0.3052 0.5000
S 0.8344 0.6049 0.0000



(8)
A relaxed PaGe2S8 crystal, computed with PBE.

Results
Total DFT energy (no corrections), eV per cell: -53.5
ΔE_f (raw), eV per atom: -0.162
Magnetic moment, μB/f.u.: 2.4

a b c (Å): 7.1534 7.1534 6.7021
angles (deg): 90.00 90.00 120.00
Sites, in units of the cell vectors:
Pa 0.0000 0.0000 0.0000
Ge 0.3333 0.6667 0.3534
Ge 0.6667 0.3333 0.6466
S 0.1639 0.3278 0.2423
S 0.1639 0.8361 0.2423
S 0.3278 0.1639 0.7577
S 0.3333 0.6667 0.6795
S 0.6667 0.3333 0.3205
S 0.6722 0.8361 0.2423
S 0.8361 0.1639 0.7577
S 0.8361 0.6722 0.7577